A plane-wave DFT calculation with PBE was carried out for SrCe2MnN5 after structural relaxation.

## Properties
Electronic total energy   -8.180 eV/atom
Uncorrected formation energy   -1.031 eV/atom

Cell and atoms, written as extended XYZ:
```
18
Lattice="-6.152 -0.311 2.758 -1.549 -5.179 -4.040 5.732 -0.780 4.439" Properties=species:S:1:pos:R:3 pbc="T T T"
N -0.672 -1.897 4.253
N -1.892 -1.853 1.537
N -3.169 -0.503 3.423
N -3.851 -2.745 -0.641
N -0.077 -4.417 1.619
N -1.297 -4.374 -1.097
N 1.199 -5.768 -0.267
N 0.839 -2.850 -0.741
N 0.000 0.000 0.000
N -2.808 -3.420 3.898
Ce -3.226 -4.337 -2.428
Ce -1.611 -1.705 -0.785
Ce -4.476 -1.154 1.146
Ce -6.090 -3.786 -0.498
Mn 0.166 -4.352 -0.121
Mn -2.135 -1.918 3.278
Sr -2.910 -4.508 1.258
Sr 0.941 -1.763 1.899
```